Entry A
Crystalline NiAgN2F at its relaxed geometry, computed with PBE with a Hubbard U.

Structure (POSCAR):
```
NiAgN2F
1.0
-0.244 -3.980 0.723
3.213 -0.631 -2.389
2.550 0.445 3.313
N Ni Ag F
2 1 1 1
direct
0.000 0.500 0.000 N
0.500 0.000 0.000 N
0.500 0.500 0.500 Ni
0.000 0.000 0.000 Ag
0.000 0.000 0.500 F
```

Results
Theoretical density ... 5.14 g cm⁻³
Total magnetization ... 2.4 μB/f.u.
Fermi-level density of states ... 5.009 states/eV per cell
Crystal system ... tetragonal

Entry B
Crystalline NiAgN2F at its relaxed geometry, computed with PBE with a Hubbard U.

Structure (POSCAR):
```
NiAgN2F
1.0
-1.389 -3.274 1.286
3.437 -1.556 -0.250
0.807 1.165 3.840
Ni N Ag F
1 2 1 1
direct
0.000 0.000 0.000 Ni
0.000 0.500 0.000 N
0.500 0.000 0.000 N
0.500 0.500 0.500 Ag
0.000 0.000 0.500 F
```

Results
Theoretical density ... 6.06 g cm⁻³
Total magnetization ... 3.5 μB/f.u.
Fermi-level density of states ... 2.333 states/eV per cell
Crystal system ... tetragonal

Which of them is most stable, and which least? Most stable: entry B; least stable: entry A.

Entry A
Crystalline NiAgNF2 at its relaxed geometry, computed with PBE with a Hubbard U.

Structure (POSCAR):
```
NiAgNF2
1.0
4.418 0.000 0.000
0.000 4.418 0.000
0.000 0.000 3.981
Ni F Ag N
1 2 1 1
direct
0.500 0.500 0.500 Ni
0.500 0.000 0.000 F
0.000 0.500 0.000 F
0.000 0.000 0.000 Ag
0.000 0.000 0.500 N
```

Results
Theoretical density ... 4.67 g cm⁻³
Total magnetization ... 2.8 μB/f.u.
Fermi-level density of states ... 2.641 states/eV per cell
Crystal system ... tetragonal

Entry B
Crystalline NiAgNF2 at its relaxed geometry, computed with PBE with a Hubbard U.

Structure (POSCAR):
```
NiAgNF2
1.0
-3.409 2.087 0.482
-1.565 -3.045 2.119
1.414 1.552 3.274
Ni Ag F N
1 1 2 1
direct
0.000 0.000 0.000 Ni
0.500 0.500 0.500 Ag
0.000 0.500 0.000 F
0.500 0.000 0.000 F
0.000 0.000 0.500 N
```

Results
Theoretical density ... 5.76 g cm⁻³
Total magnetization ... 3.5 μB/f.u.
Fermi-level density of states ... 1.568 states/eV per cell
Crystal system ... tetragonal

Which of them is most stable, and which least? Most stable: entry B; least stable: entry A.